Record 1
Density functional theory data (PBE-GGA) for an optimized crystal structure of LiErZnGe.

It has space group F-43m (No. 216), with a = 6.731 Å, b = 6.731 Å, c = 6.731 Å, α = 90.00°, β = 90.00° and γ = 90.00°. The inequivalent atoms are Li at (0.000, 0.000, 0.000), Er at (0.000, 0.000, 0.500), Zn at (0.250, 0.250, 0.250) and Ge at (0.250, 0.250, 0.750).

Its formation energy is -0.444 eV/atom.

---

Record 2
Density functional theory data (PBE-GGA) for an optimized crystal structure of Zr2TeRh.

It has space group Amm2 (No. 38), with a = 3.943 Å, b = 3.651 Å, c = 11.629 Å, α = 90.00°, β = 90.00° and γ = 90.00°. The inequivalent atoms are Zr at (0.000, 0.000, 0.000), Zr at (0.500, 0.000, 0.335), Te at (0.000, 0.000, 0.740) and Rh at (0.500, 0.000, 0.583).

Its uncorrected formation energy is -0.642 eV/atom.

---

Record 3
Density functional theory data (PBE-GGA) for an optimized crystal structure of KCeHgCl6.

It has space group P-31c (No. 163), with a = 7.1712 Å, b = 7.1712 Å, c = 13.6715 Å, α = 90.00°, β = 90.00° and γ = 120.00°. The inequivalent atoms are K at (0.0000, 0.0000, 0.0000), Ce at (0.3333, 0.6667, 0.2500), Hg at (0.3333, 0.6667, 0.7500) and Cl at (0.0011, 0.3688, 0.6364).

Its uncorrected formation energy is -1.614 eV/atom.

---

Record 4
Density functional theory data (PBE-GGA) for an optimized crystal structure of Tb3Pd3Pb.

It has space group P6_3/m (No. 176), with a = 8.7671 Å, b = 8.7671 Å, c = 4.9067 Å, α = 90.00°, β = 90.00° and γ = 120.00°. The inequivalent atoms are Tb at (0.0820, 0.4053, 0.2500), Pd at (0.0374, 0.2061, 0.7500) and Pb at (0.3333, 0.6667, 0.7500).

Its formation energy is -0.678 eV/atom.

---

Record 5
Density functional theory data (PBE-GGA) for an optimized crystal structure of SrReRh2.

It has space group C2/m (No. 12), with a = 7.738 Å, b = 2.860 Å, c = 7.072 Å, α = 90.00°, β = 93.67° and γ = 90.00°. The inequivalent atoms are Sr at (0.000, 0.000, 0.000), Re at (0.000, 0.500, 0.500) and Rh at (0.249, 0.000, 0.689).

Its formation energy is 0.316 eV/atom.

---

Record 6
Density functional theory data (PBE-GGA) for an optimized crystal structure of Sr3MgRh.

It has space group Pm-3m (No. 221), with a = 5.831 Å, b = 5.831 Å, c = 5.831 Å, α = 90.00°, β = 90.00° and γ = 90.00°. The inequivalent atoms are Sr at (0.000, 0.000, 0.500), Mg at (0.500, 0.500, 0.500) and Rh at (0.000, 0.000, 0.000).

Its formation energy is -0.104 eV/atom.

---

Record 7
Density functional theory data (PBE-GGA) for an optimized crystal structure of TbMg11In.

It has space group C2/m (No. 12), with a = 5.910 Å, b = 14.468 Å, c = 7.745 Å, α = 90.00°, β = 111.61° and γ = 90.00°. The inequivalent atoms are Tb at (0.000, 0.000, 0.000), Mg at (0.000, 0.000, 0.500), Mg at (0.108, 0.395, 0.210), Mg at (0.171, 0.176, 0.351), Mg at (0.250, 0.250, 0.000) and In at (0.000, 0.500, 0.500).

Its formation energy is -0.050 eV/atom.

---

Record 8
Density functional theory data (PBE-GGA) for an optimized crystal structure of SrCdBi.

It has space group P2_1/m (No. 11), with a = 8.948 Å, b = 4.804 Å, c = 13.988 Å, α = 90.00°, β = 91.16° and γ = 90.00°. The inequivalent atoms are Sr at (0.064, 0.250, 0.370), Sr at (0.179, 0.250, 0.074), Sr at (0.434, 0.750, 0.713), Cd at (0.078, 0.250, 0.790), Cd at (0.399, 0.750, 0.466), Cd at (0.494, 0.750, 0.064), Bi at (0.198, 0.750, 0.896), Bi at (0.219, 0.250, 0.594) and Bi at (0.287, 0.750, 0.248).

Its formation energy is -0.556 eV/atom.

---

Record 9
Density functional theory data (PBE-GGA) for an optimized crystal structure of ZrMnCd2Re.

It has space group P4/mmm (No. 123), with a = 4.854 Å, b = 4.854 Å, c = 4.414 Å, α = 90.00°, β = 90.00° and γ = 90.00°. The inequivalent atoms are Zr at (0.000, 0.000, 0.000), Mn at (0.500, 0.500, 0.500), Cd at (0.000, 0.500, 0.500) and Re at (0.500, 0.500, 0.000).

Its formation energy is 0.926 eV/atom.

---

Record 10
Density functional theory data (PBE-GGA) for an optimized crystal structure of SmTlBr.

It has space group Cmcm (No. 63), with a = 6.187 Å, b = 19.125 Å, c = 4.042 Å, α = 90.00°, β = 90.00° and γ = 90.00°. The inequivalent atoms are Sm at (0.000, 0.090, 0.250), Tl at (0.000, 0.437, 0.750) and Br at (0.000, 0.195, 0.750).

Its uncorrected formation energy is -0.598 eV/atom.

---

Record 11
Density functional theory data (PBE-GGA) for an optimized crystal structure of Ho4NiTe.

It has space group C2/c (No. 15), with a = 15.022 Å, b = 6.667 Å, c = 7.016 Å, α = 90.00°, β = 106.92° and γ = 90.00°. The inequivalent atoms are Ho at (0.095, 0.082, 0.470), Ho at (0.175, 0.422, 0.153), Ni at (0.250, 0.250, 0.500) and Te at (0.000, 0.341, 0.750).

Its uncorrected formation energy is -0.442 eV/atom.

---

Record 12
Density functional theory data (PBE-GGA) for an optimized crystal structure of Al2BiOsO8.

It has space group Cmmm (No. 65), with a = 6.467 Å, b = 6.499 Å, c = 6.310 Å, α = 90.00°, β = 90.00° and γ = 90.00°. The inequivalent atoms are Al at (0.000, 0.000, 0.249), Bi at (0.000, 0.500, 0.500), Os at (0.000, 0.500, 0.000), O at (0.000, 0.172, 0.500), O at (0.000, 0.201, 0.000) and O at (0.208, 0.500, 0.223).

Its uncorrected formation energy is -1.742 eV/atom.

---

Record 13
Density functional theory data (PBE-GGA) for an optimized crystal structure of Pr4Nd5Dy2.

It has space group P2/m (No. 10), with a = 9.083 Å, b = 3.569 Å, c = 11.980 Å, α = 90.00°, β = 94.36° and γ = 90.00°. The inequivalent atoms are Pr at (0.154, 0.000, 0.393), Pr at (0.287, 0.000, 0.950), Nd at (0.199, 0.500, 0.670), Nd at (0.426, 0.500, 0.208), Nd at (0.500, 0.500, 0.500) and Dy at (0.057, 0.500, 0.135).

Its formation energy is 0.086 eV/atom.

---

Record 14
Density functional theory data (PBE-GGA) for an optimized crystal structure of ErNpGa5.

It has space group P4/mmm (No. 123), with a = 4.864 Å, b = 4.864 Å, c = 6.501 Å, α = 90.00°, β = 90.00° and γ = 90.00°. The inequivalent atoms are Er at (0.000, 0.000, 0.000), Np at (0.500, 0.500, 0.500), Ga at (0.000, 0.500, 0.257) and Ga at (0.500, 0.500, 0.000).

Its formation energy is -0.040 eV/atom.

---

Record 15
Density functional theory data (PBE-GGA) for an optimized crystal structure of AcAuBr2.

It has space group R-3m (No. 166, hexagonal axes), with a = 4.0627 Å, b = 4.0627 Å, c = 28.9638 Å, α = 90.00°, β = 90.00° and γ = 120.00°. The inequivalent atoms are Ac at (0.0000, 0.0000, 0.0000), Au at (0.0000, 0.0000, 0.5000) and Br at (0.0000, 0.0000, 0.4072).

Its uncorrected formation energy is -0.744 eV/atom.

---

Record 16
Density functional theory data (PBE-GGA) for an optimized crystal structure of Li2ScSb.

It has space group C2/m (No. 12), with a = 10.055 Å, b = 4.103 Å, c = 4.222 Å, α = 90.00°, β = 104.00° and γ = 90.00°. The inequivalent atoms are Li at (0.250, 0.000, 0.222), Sc at (0.000, 0.000, 0.500) and Sb at (0.000, 0.500, 0.000).

Its uncorrected formation energy is -0.366 eV/atom.

---

Record 17
Density functional theory data (PBE-GGA) for an optimized crystal structure of Nd2ZnCu2.

It has space group C2/m (No. 12), with a = 10.416 Å, b = 4.414 Å, c = 10.709 Å, α = 90.00°, β = 117.61° and γ = 90.00°. The inequivalent atoms are Nd at (0.021, 0.000, 0.341), Nd at (0.198, 0.000, 0.111), Zn at (0.227, 0.500, 0.350), Cu at (0.009, 0.500, 0.887) and Cu at (0.140, 0.500, 0.563).

Its formation energy is -0.225 eV/atom.

---

Record 18
Density functional theory data (PBE-GGA) for an optimized crystal structure of TaTePS2.

It has space group P4/mmm (No. 123), with a = 4.890 Å, b = 4.890 Å, c = 4.972 Å, α = 90.00°, β = 90.00° and γ = 90.00°. The inequivalent atoms are Ta at (0.000, 0.000, 0.000), Te at (0.500, 0.500, 0.500), P at (0.500, 0.500, 0.000) and S at (0.000, 0.500, 0.500).

Its uncorrected formation energy is 1.387 eV/atom.

---

Record 19
Density functional theory data (PBE-GGA) for an optimized crystal structure of PrTeCl.

It has space group P-6m2 (No. 187), with a = 4.8329 Å, b = 4.8329 Å, c = 4.3319 Å, α = 90.00°, β = 90.00° and γ = 120.00°. The inequivalent atoms are Pr at (0.0000, 0.0000, 0.0000), Te at (0.6667, 0.3333, 0.5000) and Cl at (0.3333, 0.6667, 0.0000).

Its uncorrected formation energy is -1.678 eV/atom.

---

Record 20
Density functional theory data (PBE-GGA) for an optimized crystal structure of FeRuSe2.

It has space group Imm2 (No. 44), with a = 3.085 Å, b = 4.309 Å, c = 9.730 Å, α = 90.00°, β = 90.00° and γ = 90.00°. The inequivalent atoms are Fe at (0.000, 0.000, 0.000), Ru at (0.000, 0.500, 0.794), Se at (0.000, 0.000, 0.500) and Se at (0.000, 0.500, 0.278).

Its uncorrected formation energy is 0.307 eV/atom.